Record 1
VASP calculation (PBE) on an optimized crystal structure of Tb3Pd5Au.

Summary:
- total moment (μB/f.u.) = 0.00
- total DFT energy (no corrections) (eV per cell) = -95.83
- calculated formation energy (eV per atom) = -0.53

extended XYZ file:
```
18
Lattice="-4.625 -0.665 -6.927 -6.793 -1.372 4.667 4.713 6.438 1.274" Properties=species:S:1:pos:R:3 pbc="T T T"
Pd -3.008 0.999 -1.146
Pd -0.657 3.881 3.125
Pd -3.696 3.402 0.161
Pd -0.794 4.017 -2.914
Pd -5.910 0.384 1.929
Pd -6.048 0.520 -4.110
Pd -5.709 -1.019 -1.130
Pd 2.245 4.496 0.050
Pd 0.000 0.000 0.000
Pd -8.949 -0.095 -1.035
Tb -3.121 -0.596 0.861
Tb -8.296 -1.441 -3.121
Tb -7.655 -1.446 1.491
Tb -6.206 1.691 -1.058
Tb -0.498 2.710 0.072
Tb -3.762 -0.591 -3.750
Au -3.894 2.023 2.406
Au -2.810 2.377 -3.391
```

---

Record 2
VASP calculation (PBE) on an optimized crystal structure of MgCd14Ag.

Summary:
- total moment (μB/f.u.) = 0.00
- total DFT energy (no corrections) (eV per cell) = -17.61
- calculated formation energy (eV per atom) = -0.02

extended XYZ file:
```
16
Lattice="6.222 -0.453 0.000 -2.855 5.547 0.000 0.000 0.000 10.563" Properties=species:S:1:pos:R:3 pbc="T T T"
Cd -1.116 4.397 0.000
Cd 0.600 3.263 7.849
Cd 0.600 3.263 2.714
Cd 0.719 5.027 5.281
Cd 1.992 4.161 0.000
Cd 0.320 1.630 0.000
Cd 3.419 1.400 0.000
Cd 2.006 0.508 2.729
Cd 5.120 0.275 7.928
Cd 3.686 3.049 7.834
Cd -0.976 2.462 5.281
Cd 5.120 0.275 2.635
Cd 3.686 3.049 2.729
Cd 2.006 0.508 7.834
Ag 2.164 2.229 5.281
Mg -2.414 5.255 5.281
```

---

Record 3
VASP calculation (PBE) on an optimized crystal structure of RbScZn2.

Summary:
- total moment (μB/f.u.) = 0.00
- total DFT energy (no corrections) (eV per cell) = -8.21
- calculated formation energy (eV per atom) = 0.41

extended XYZ file:
```
4
Lattice="0.000 3.745 3.745 3.745 0.000 3.745 3.745 3.745 0.000" Properties=species:S:1:pos:R:3 pbc="T T T"
Rb 3.745 3.745 3.745
Sc 0.000 0.000 0.000
Zn 5.618 5.618 5.618
Zn 1.873 1.873 1.873
```

---

Record 4
VASP calculation (PBE) on an optimized crystal structure of LaRe.

Summary:
- total moment (μB/f.u.) = 0.00
- total DFT energy (no corrections) (eV per cell) = -30.87
- calculated formation energy (eV per atom) = 0.97

extended XYZ file:
```
4
Lattice="3.395 0.000 0.000 -1.697 2.940 0.000 0.000 0.000 9.069" Properties=species:S:1:pos:R:3 pbc="T T T"
La 0.000 0.000 0.000
La 0.000 0.000 4.535
Re 0.000 1.960 2.267
Re 1.697 0.980 6.802
```